Record 1
This record from Alexandria via LeMat-Bulk describes a geometry-optimized BeCrAs2 structure. The functional is PBE.

Cell and atoms, written as CIF:
```
data_BeCrAs2
_chemical_formula_sum 'Be2 Cr2 As4'
_space_group_name_H-M_alt 'C m m m'
_space_group_IT_number 65
_space_group_name_Hall '-C 2 2'
_cell_length_a 3.599
_cell_length_b 4.840
_cell_length_c 6.886
_cell_angle_alpha 90.00
_cell_angle_beta 90.00
_cell_angle_gamma 90.00
loop_
_atom_site_label
_atom_site_type_symbol
_atom_site_fract_x
_atom_site_fract_y
_atom_site_fract_z
Be1 Be 0.000 0.000 0.000
Cr1 Cr 0.000 0.000 0.500
As1 As 0.000 0.500 0.241
```

Energy of formation, eV per atom: 0.35
D(E_F), states/eV/atom: 0.637
Total moment, μB/f.u.: 2.8

Record 2
This record from Alexandria via LeMat-Bulk describes a geometry-optimized Be2CrAs structure. The functional is PBE.

Cell and atoms, written as CIF:
```
data_Be2CrAs
_chemical_formula_sum 'Be4 Cr2 As2'
_space_group_name_H-M_alt 'C m m m'
_space_group_IT_number 65
_space_group_name_Hall '-C 2 2'
_cell_length_a 3.232
_cell_length_b 3.949
_cell_length_c 7.618
_cell_angle_alpha 90.00
_cell_angle_beta 90.00
_cell_angle_gamma 90.00
loop_
_atom_site_label
_atom_site_type_symbol
_atom_site_fract_x
_atom_site_fract_y
_atom_site_fract_z
Be1 Be 0.000 0.000 0.218
Cr1 Cr 0.000 0.500 0.000
As1 As 0.000 0.500 0.500
```

Energy of formation, eV per atom: 0.40
D(E_F), states/eV/atom: 0.603
Total moment, μB/f.u.: 0.0